(1)
RbTi2Be | GGA-PBE | optimized geometry

Unit cell a=8.607 b=8.607 c=8.607 alpha=141.72 beta=141.72 gamma=55.24
Positions (direct):
Rb: 0.375 0.625 0.750
Rb: 0.625 0.375 0.250
Ti: 0.000 0.000 0.000
Ti: 0.000 0.000 0.500
Ti: 0.000 0.500 0.000
Ti: 0.500 0.000 0.500
Be: 0.125 0.875 0.250
Be: 0.875 0.125 0.750

Computed properties:
As for the energy of formation from the pure elements: 1.40 eV/atom. For the density of states at the Fermi level, the calculation gives 1.441 states/eV/atom.

=====

(2)
RuRh2W | GGA-PBE | optimized geometry

Unit cell a=2.728 b=3.910 c=5.445 alpha=90.00 beta=90.00 gamma=90.00
Positions (direct):
Ru: 0.000 0.000 0.000
Rh: 0.500 0.500 0.245
Rh: 0.500 0.500 0.755
W: 0.000 0.000 0.500

Computed properties:
The value obtained for the energy above the most stable polymorph in this dataset is 110 meV/atom. As for the energy of formation from the pure elements: -0.07 eV/atom. For the density of states at the Fermi level, the calculation gives 1.206 states/eV/atom.

=====

(3)
Nd8Er2Tm | GGA-PBE | optimized geometry

Unit cell a=8.558 b=8.558 c=5.478 alpha=90.13 beta=90.13 gamma=104.74
Positions (direct):
Nd: 0.165 0.165 0.000
Nd: 0.201 0.470 0.499
Nd: 0.248 0.752 0.000
Nd: 0.470 0.201 0.499
Nd: 0.530 0.799 0.501
Nd: 0.752 0.248 0.000
Nd: 0.799 0.530 0.501
Nd: 0.835 0.835 0.000
Er: 0.119 0.881 0.500
Er: 0.881 0.119 0.500
Tm: 0.500 0.500 0.000

Computed properties:
The value obtained for the energy above the most stable polymorph in this dataset is 0 meV/atom. As for the energy of formation from the pure elements: 0.16 eV/atom. For the density of states at the Fermi level, the calculation gives 1.632 states/eV/atom.

=====

(4)
Zn2CoTc | GGA-PBE | optimized geometry

Unit cell a=5.083 b=5.083 c=5.083 alpha=148.20 beta=128.85 gamma=61.50
Positions (direct):
Zn: 0.235 0.235 0.000
Zn: 0.765 0.765 0.000
Co: 0.000 0.500 0.500
Tc: 0.500 0.000 0.500

Computed properties:
The value obtained for the energy above the most stable polymorph in this dataset is 145 meV/atom. As for the energy of formation from the pure elements: 0.13 eV/atom. For the density of states at the Fermi level, the calculation gives 0.767 states/eV/atom.

=====

(5)
InAs2Pb | GGA-PBE | optimized geometry

Unit cell a=4.059 b=4.059 c=7.605 alpha=105.81 beta=105.81 gamma=59.84
Positions (direct):
In: 0.000 0.000 0.000
As: 0.406 0.406 0.215
As: 0.587 0.587 0.766
Pb: 0.831 0.831 0.496

Computed properties:
The value obtained for the energy above the most stable polymorph in this dataset is 51 meV/atom. As for the energy of formation from the pure elements: 0.04 eV/atom. For the density of states at the Fermi level, the calculation gives 0.473 states/eV/atom.

=====

(6)
LiYCl2 | GGA-PBE | optimized geometry

Unit cell a=8.352 b=8.352 c=8.352 alpha=25.98 beta=25.98 gamma=25.98
Positions (direct):
Li: 0.000 0.000 0.000
Y: 0.500 0.500 0.500
Cl: 0.391 0.391 0.391
Cl: 0.609 0.609 0.609

Computed properties:
The value obtained for the energy above the most stable polymorph in this dataset is 5 meV/atom. For the density of states at the Fermi level, the calculation gives 0.006 states/eV/atom.

=====

(7)
B7C3 | GGA-PBE | optimized geometry

Unit cell a=12.571 b=12.571 c=12.571 alpha=12.48 beta=12.48 gamma=12.48
Positions (direct):
B: 0.000 0.000 0.000
B: 0.048 0.048 0.048
B: 0.216 0.216 0.216
B: 0.479 0.479 0.479
B: 0.595 0.595 0.595
B: 0.647 0.647 0.647
B: 0.858 0.858 0.858
C: 0.259 0.259 0.259
C: 0.383 0.383 0.383
C: 0.816 0.816 0.816

Computed properties:
The value obtained for the energy above the most stable polymorph in this dataset is 196 meV/atom. As for the energy of formation from the pure elements: 0.49 eV/atom. For the density of states at the Fermi level, the calculation gives 0.284 states/eV/atom.

=====

(8)
TbMn10Co2 | GGA-PBE | optimized geometry

Unit cell a=6.361 b=6.361 c=8.274 alpha=90.00 beta=90.00 gamma=97.54
Positions (direct):
Tb: 0.115 0.885 0.750
Tb: 0.885 0.115 0.250
Mn: 0.127 0.382 0.750
Mn: 0.169 0.831 0.099
Mn: 0.169 0.831 0.401
Mn: 0.238 0.238 0.000
Mn: 0.238 0.238 0.500
Mn: 0.251 0.483 0.250
Mn: 0.382 0.127 0.250
Mn: 0.388 0.612 0.581
Mn: 0.388 0.612 0.919
Mn: 0.483 0.251 0.750
Mn: 0.517 0.749 0.250
Mn: 0.612 0.388 0.081
Mn: 0.612 0.388 0.419
Mn: 0.618 0.873 0.750
Mn: 0.749 0.517 0.750
Mn: 0.762 0.762 0.000
Mn: 0.762 0.762 0.500
Mn: 0.831 0.169 0.599
Mn: 0.831 0.169 0.901
Mn: 0.873 0.618 0.250
Co: 0.000 0.500 0.000
Co: 0.000 0.500 0.500
Co: 0.500 0.000 0.000
Co: 0.500 0.000 0.500

Computed properties:
As for the energy of formation from the pure elements: 0.02 eV/atom. For the density of states at the Fermi level, the calculation gives 1.125 states/eV/atom.

=====

(9)
RbTlCu2Cl6 | GGA-PBE | optimized geometry

Unit cell a=9.009 b=9.009 c=7.400 alpha=100.38 beta=100.38 gamma=85.23
Positions (direct):
Rb: 0.174 0.826 0.750
Rb: 0.826 0.174 0.250
Tl: 0.397 0.603 0.250
Tl: 0.603 0.397 0.750
Cu: 0.121 0.294 0.766
Cu: 0.294 0.121 0.266
Cu: 0.706 0.879 0.734
Cu: 0.879 0.706 0.234
Cl: 0.111 0.599 0.327
Cl: 0.120 0.169 0.013
Cl: 0.169 0.120 0.513
Cl: 0.300 0.470 0.864
Cl: 0.401 0.889 0.173
Cl: 0.470 0.300 0.364
Cl: 0.530 0.700 0.636
Cl: 0.599 0.111 0.827
Cl: 0.700 0.530 0.136
Cl: 0.831 0.880 0.487
Cl: 0.880 0.831 0.987
Cl: 0.889 0.401 0.673

Computed properties:
The calculation puts the total energy at -3.1494 eV per atom. For the density of states at the Fermi level, the calculation gives 0.823 states/eV/atom.

=====

| no. | magnetic moment (μB/f.u.) |
| --- | --- |
| 1 | 2.7 |
| 2 | 0.0 |
| 3 | 0.0 |
| 4 | 1.7 |
| 5 | 0.0 |
| 6 | 0.0 |
| 7 | 0.0 |
| 8 | 3.9 |
| 9 | 0.2 |